1.
The following is a PBEsol calculation of a relaxed structure of Ti4GaC3, from Alexandria via LeMat-Bulk.

Output
formation enthalpy at 0 K: -0.874 eV per atom
mass density: 5.3 g cm⁻³
energy: -9.069 eV/atom
SG: P6_3/mmc, No. 194
magnetic moment: 0.00 μB/f.u.

a = 3.061 Å, b = 3.061 Å, c = 23.009 Å
α = 90.00°, β = 90.00°, γ = 120.00°
Sites, in units of the cell vectors:
C 0.667 0.333 0.390
C 0.333 0.667 0.890
C 0.000 0.000 0.500
C 0.667 0.333 0.110
C 0.333 0.667 0.610
C 0.000 0.000 0.000
Ti 0.333 0.667 0.052
Ti 0.000 0.000 0.345
Ti 0.333 0.667 0.448
Ti 0.000 0.000 0.655
Ti 0.667 0.333 0.948
Ti 0.000 0.000 0.155
Ti 0.000 0.000 0.845
Ti 0.667 0.333 0.552
Ga 0.667 0.333 0.750
Ga 0.333 0.667 0.250

***

2.
The following is a PBEsol calculation of a relaxed structure of TlGa3C, from Alexandria via LeMat-Bulk.

Output
formation enthalpy at 0 K: 0.661 eV per atom
mass density: 8.3 g cm⁻³
energy: -3.798 eV/atom
SG: Pm-3m, No. 221
magnetic moment: 0.00 μB/f.u.

a = 4.403 Å, b = 4.403 Å, c = 4.403 Å
α = 90.00°, β = 90.00°, γ = 90.00°
Sites, in units of the cell vectors:
Ga 0.000 0.500 0.000
Ga 0.000 0.000 0.500
Ga 0.500 0.000 0.000
C 0.000 0.000 0.000
Tl 0.500 0.500 0.500

***

3.
The following is a PBEsol calculation of a relaxed structure of Tl3GaC, from Alexandria via LeMat-Bulk.

Output
formation enthalpy at 0 K: 0.996 eV per atom
mass density: 9.9 g cm⁻³
energy: -3.179 eV/atom
SG: Pm-3m, No. 221
magnetic moment: 0.00 μB/f.u.

a = 4.880 Å, b = 4.880 Å, c = 4.880 Å
α = 90.00°, β = 90.00°, γ = 90.00°
Sites, in units of the cell vectors:
Tl 0.000 0.000 0.500
Tl 0.000 0.500 0.000
Tl 0.500 0.000 0.000
C 0.000 0.000 0.000
Ga 0.500 0.500 0.500

***

4.
The following is a PBEsol calculation of a relaxed structure of V2GaC, from Alexandria via LeMat-Bulk.

Output
formation enthalpy at 0 K: -0.594 eV per atom
mass density: 6.6 g cm⁻³
energy: -8.657 eV/atom
SG: P6_3/mmc, No. 194
magnetic moment: 0.00 μB/f.u.

a = 2.901 Å, b = 2.901 Å, c = 12.722 Å
α = 90.00°, β = 90.00°, γ = 120.00°
Sites, in units of the cell vectors:
C 0.000 0.000 0.500
C 0.000 0.000 0.000
V 0.333 0.667 0.086
V 0.667 0.333 0.586
V 0.333 0.667 0.414
V 0.667 0.333 0.914
Ga 0.333 0.667 0.750
Ga 0.667 0.333 0.250

***

5.
The following is a PBEsol calculation of a relaxed structure of ZnGa2WC, from Alexandria via LeMat-Bulk.

Output
formation enthalpy at 0 K: 2.214 eV per atom
mass density: 5.8 g cm⁻³
energy: -4.129 eV/atom
SG: P4/mmm, No. 123
magnetic moment: 0.36 μB/f.u.

a = 4.867 Å, b = 4.867 Å, c = 4.873 Å
α = 90.00°, β = 90.00°, γ = 90.00°
Sites, in units of the cell vectors:
Zn 0.000 0.000 0.500
C 0.500 0.500 0.500
Ga 0.000 0.500 0.000
Ga 0.500 0.000 0.000
W 0.000 0.000 0.000

***

6.
The following is a PBEsol calculation of a relaxed structure of GdC2, from Alexandria via LeMat-Bulk.

Output
formation enthalpy at 0 K: -0.180 eV per atom
mass density: 7.2 g cm⁻³
energy: -11.425 eV/atom
SG: I4/mmm, No. 139
magnetic moment: 6.91 μB/f.u.

a = 3.670 Å, b = 4.049 Å, c = 3.670 Å
α = 63.05°, β = 90.00°, γ = 116.95°
Sites, in units of the cell vectors:
C 0.605 0.209 0.395
C 0.395 0.791 0.605
Gd 0.000 0.000 0.000

***

7.
The following is a PBEsol calculation of a relaxed structure of GdH7C2SO8, from Alexandria via LeMat-Bulk.

Output
mass density: 3.4 g cm⁻³
energy: -6.790 eV/atom
SG: P-1, No. 2
magnetic moment: 6.91 μB/f.u.

a = 6.692 Å, b = 6.831 Å, c = 8.511 Å
α = 68.11°, β = 89.28°, γ = 72.46°
Sites, in units of the cell vectors:
S 0.698 0.399 0.255
S 0.302 0.601 0.745
Gd 0.882 0.354 0.866
Gd 0.118 0.646 0.134
H 0.120 0.792 0.429
H 0.404 0.314 0.448
H 0.596 0.686 0.552
H 0.074 0.020 0.712
H 0.502 0.817 0.266
H 0.170 0.310 0.506
H 0.926 0.980 0.288
H 0.559 0.957 0.659
H 0.498 0.183 0.734
H 0.830 0.690 0.494
H 0.880 0.208 0.571
H 0.441 0.043 0.341
H 0.582 0.058 0.162
H 0.418 0.942 0.838
O 0.168 0.322 0.078
O 0.513 0.450 0.832
O 0.836 0.528 0.263
O 0.821 0.980 0.960
O 0.001 0.816 0.345
O 0.320 0.746 0.569
O 0.680 0.254 0.431
O 0.832 0.678 0.922
O 0.487 0.550 0.168
O 0.999 0.184 0.655
O 0.750 0.631 0.590
O 0.179 0.020 0.040
O 0.250 0.369 0.410
O 0.792 0.254 0.159
O 0.164 0.472 0.737
O 0.208 0.746 0.841
C 0.457 0.997 0.230
C 0.261 0.116 0.113
C 0.739 0.884 0.887
C 0.543 0.003 0.770

***

8.
The following is a PBEsol calculation of a relaxed structure of KGdC2O6, from Alexandria via LeMat-Bulk.

Output
mass density: 4.0 g cm⁻³
energy: -8.792 eV/atom
SG: C2/c, No. 15
formation energy without anion corrections: -2.16 eV per atom
magnetic moment: 6.98 μB/f.u.

a = 6.409 Å, b = 6.409 Å, c = 6.944 Å
α = 102.80°, β = 102.80°, γ = 98.47°
Sites, in units of the cell vectors:
C 0.393 0.143 0.243
C 0.857 0.607 0.257
C 0.607 0.857 0.757
C 0.143 0.393 0.743
O 0.702 0.469 0.106
O 0.531 0.298 0.394
O 0.056 0.592 0.280
O 0.794 0.750 0.381
O 0.206 0.250 0.619
O 0.750 0.794 0.881
O 0.408 0.944 0.220
O 0.592 0.056 0.780
O 0.469 0.702 0.606
O 0.298 0.531 0.894
O 0.944 0.408 0.720
O 0.250 0.206 0.119
Gd 0.594 0.406 0.750
Gd 0.406 0.594 0.250
K 0.125 0.875 0.750
K 0.875 0.125 0.250

***

9.
The following is a PBEsol calculation of a relaxed structure of LaGdC4, from Alexandria via LeMat-Bulk.

Output
formation enthalpy at 0 K: -0.122 eV per atom
mass density: 6.2 g cm⁻³
energy: -9.850 eV/atom
SG: Cmmm, No. 65
magnetic moment: 6.90 μB/f.u.

a = 4.169 Å, b = 4.169 Å, c = 5.362 Å
α = 90.00°, β = 90.00°, γ = 99.97°
Sites, in units of the cell vectors:
C 0.602 0.398 0.000
C 0.101 0.899 0.500
C 0.899 0.101 0.500
C 0.398 0.602 0.000
La 0.500 0.500 0.500
Gd 0.000 0.000 0.000

***

10.
The following is a PBEsol calculation of a relaxed structure of GdRuC2, from Alexandria via LeMat-Bulk.

Output
formation enthalpy at 0 K: -0.247 eV per atom
mass density: 9.1 g cm⁻³
energy: -11.225 eV/atom
SG: Cmcm, No. 63
magnetic moment: 6.87 μB/f.u.

a = 4.340 Å, b = 5.075 Å, c = 5.167 Å
α = 90.00°, β = 90.00°, γ = 115.32°
Sites, in units of the cell vectors:
Gd 0.817 0.634 0.250
Gd 0.183 0.366 0.750
C 0.075 0.831 0.750
C 0.925 0.169 0.250
C 0.757 0.831 0.750
C 0.243 0.169 0.250
Ru 0.500 0.000 0.000
Ru 0.500 0.000 0.500

***

11.
The following is a PBEsol calculation of a relaxed structure of Gd3SnC, from Alexandria via LeMat-Bulk.

Output
formation enthalpy at 0 K: -0.653 eV per atom
mass density: 8.6 g cm⁻³
energy: -12.103 eV/atom
SG: Pm-3m, No. 221
magnetic moment: 21.44 μB/f.u.

a = 4.879 Å, b = 4.879 Å, c = 4.879 Å
α = 90.00°, β = 90.00°, γ = 90.00°
Sites, in units of the cell vectors:
C 0.000 0.000 0.000
Sn 0.500 0.500 0.500
Gd 0.000 0.000 0.500
Gd 0.500 0.000 0.000
Gd 0.000 0.500 0.000

***

12.
The following is a PBEsol calculation of a relaxed structure of Gd3TlC, from Alexandria via LeMat-Bulk.

Output
formation enthalpy at 0 K: -0.462 eV per atom
mass density: 9.7 g cm⁻³
energy: -11.586 eV/atom
SG: Pm-3m, No. 221
magnetic moment: 21.20 μB/f.u.

a = 4.904 Å, b = 4.904 Å, c = 4.904 Å
α = 90.00°, β = 90.00°, γ = 90.00°
Sites, in units of the cell vectors:
Gd 0.000 0.000 0.500
Gd 0.000 0.500 0.000
Gd 0.500 0.000 0.000
C 0.000 0.000 0.000
Tl 0.500 0.500 0.500

***

13.
The following is a PBEsol calculation of a relaxed structure of GeC, from Alexandria via LeMat-Bulk.

Output
formation enthalpy at 0 K: 1.161 eV per atom
mass density: 6.9 g cm⁻³
energy: -6.130 eV/atom
SG: Fm-3m, No. 225
magnetic moment: 0.00 μB/f.u.

a = 3.073 Å, b = 3.073 Å, c = 3.073 Å
α = 60.00°, β = 60.00°, γ = 60.00°
Sites, in units of the cell vectors:
C 0.500 0.500 0.500
Ge 0.000 0.000 0.000

***

14.
The following is a PBEsol calculation of a relaxed structure of GeTeHC2, from Alexandria via LeMat-Bulk.

Output
mass density: 6.4 g cm⁻³
energy: -4.047 eV/atom
SG: P4/mmm, No. 123
magnetic moment: 0.00 μB/f.u.

a = 3.331 Å, b = 4.193 Å, c = 4.193 Å
α = 90.00°, β = 90.00°, γ = 90.00°
Sites, in units of the cell vectors:
H 0.000 0.000 0.000
C 0.000 0.000 0.500
C 0.000 0.500 0.000
Te 0.500 0.500 0.500
Ge 0.500 0.000 0.000

***

15.
The following is a PBEsol calculation of a relaxed structure of HfGe2CN, from Alexandria via LeMat-Bulk.

Output
mass density: 8.0 g cm⁻³
energy: -6.761 eV/atom
SG: P4/mmm, No. 123
formation energy without anion corrections: 0.95 eV per atom
magnetic moment: 0.00 μB/f.u.

a = 4.082 Å, b = 4.082 Å, c = 4.331 Å
α = 90.00°, β = 90.00°, γ = 90.00°
Sites, in units of the cell vectors:
Hf 0.000 0.000 0.500
C 0.500 0.500 0.500
N 0.000 0.000 0.000
Ge 0.000 0.500 0.000
Ge 0.500 0.000 0.000

***

16.
The following is a PBEsol calculation of a relaxed structure of HgGeC2, from Alexandria via LeMat-Bulk.

Output
formation enthalpy at 0 K: 2.414 eV per atom
mass density: 9.6 g cm⁻³
energy: -3.785 eV/atom
SG: Fm-3m, No. 225
magnetic moment: 0.00 μB/f.u.

a = 4.178 Å, b = 4.178 Å, c = 4.178 Å
α = 60.00°, β = 60.00°, γ = 60.00°
Sites, in units of the cell vectors:
Hg 0.500 0.500 0.500
C 0.250 0.250 0.250
C 0.750 0.750 0.750
Ge 0.000 0.000 0.000

***

17.
The following is a PBEsol calculation of a relaxed structure of HgGePt2C, from Alexandria via LeMat-Bulk.

Output
formation enthalpy at 0 K: 1.819 eV per atom
mass density: 11.5 g cm⁻³
energy: -3.996 eV/atom
SG: P4/mmm, No. 123
magnetic moment: 0.00 μB/f.u.

a = 3.812 Å, b = 5.067 Å, c = 5.067 Å
α = 90.00°, β = 90.00°, γ = 90.00°
Sites, in units of the cell vectors:
Pt 0.000 0.000 0.500
Pt 0.000 0.500 0.000
Ge 0.500 0.500 0.500
C 0.500 0.000 0.000
Hg 0.000 0.000 0.000

***

18.
The following is a PBEsol calculation of a relaxed structure of LiGeCI2, from Alexandria via LeMat-Bulk.

Output
mass density: 4.6 g cm⁻³
energy: -2.501 eV/atom
SG: P4/mmm, No. 123
formation energy without anion corrections: 1.52 eV per atom
magnetic moment: 1.81 μB/f.u.

a = 4.666 Å, b = 5.188 Å, c = 5.188 Å
α = 90.00°, β = 90.00°, γ = 90.00°
Sites, in units of the cell vectors:
C 0.500 0.500 0.500
Ge 0.500 0.000 0.000
I 0.000 0.000 0.500
I 0.000 0.500 0.000
Li 0.000 0.000 0.000

***

19.
The following is a PBEsol calculation of a relaxed structure of InGeC3, from Alexandria via LeMat-Bulk.

Output
formation enthalpy at 0 K: 2.415 eV per atom
mass density: 5.9 g cm⁻³
energy: -4.955 eV/atom
SG: Pm-3m, No. 221
magnetic moment: 0.00 μB/f.u.

a = 3.986 Å, b = 3.986 Å, c = 3.986 Å
α = 90.00°, β = 90.00°, γ = 90.00°
Sites, in units of the cell vectors:
Ge 0.000 0.000 0.000
C 0.500 0.000 0.000
C 0.000 0.500 0.000
C 0.000 0.000 0.500
In 0.500 0.500 0.500

***

20.
The following is a PBEsol calculation of a relaxed structure of InGe3C, from Alexandria via LeMat-Bulk.

Output
formation enthalpy at 0 K: 2.245 eV per atom
mass density: 4.3 g cm⁻³
energy: -3.244 eV/atom
SG: Pm-3m, No. 221
magnetic moment: 1.15 μB/f.u.

a = 5.125 Å, b = 5.125 Å, c = 5.125 Å
α = 90.00°, β = 90.00°, γ = 90.00°
Sites, in units of the cell vectors:
In 0.000 0.000 0.000
Ge 0.000 0.500 0.000
Ge 0.500 0.000 0.000
Ge 0.000 0.000 0.500
C 0.500 0.500 0.500